Computed, not measured: a relaxed structure of K2CdW at the PBE level of DFT.

For the magnetization, the calculation gives 0.105 μB per atom. For the formation energy, the calculation gives 1075.4 meV per atom. The total energy comes out at -2.940 eV/atom.

The structure belongs to space group R-3m (No. 166, hexagonal axes); the cell edges are 3.0370, 3.0370 and 37.7998 Å and the angles 90.00°, 90.00° and 120.00°. The inequivalent atoms are K at (0.0000, 0.0000, 0.2468), Cd at (0.0000, 0.0000, 0.0000) and W at (0.0000, 0.0000, 0.5000).